No. 1
Density functional theory data (PBE-GGA) for a relaxed CuRu2Rh crystal.

The structure in extended XYZ format:
```
4
Lattice="-1.410 2.183 4.458 1.410 -2.183 4.458 1.410 2.183 -4.458" Properties=species:S:1:pos:R:3 pbc="T T T"
Cu 0.000 0.000 0.000
Ru 1.410 0.000 2.082
Ru 0.000 2.183 2.377
Rh 0.000 0.000 4.458
```

Energy above the lowest structure with this stoichiometry, meV/atom: 201
Volume, Å³ per cell: 54.9
Energy of formation from the pure elements, meV per atom: 320

No. 2
Density functional theory data (PBE-GGA) for a relaxed YH3W crystal.

The structure in extended XYZ format:
```
5
Lattice="3.801 0.000 0.000 0.000 3.801 0.000 0.000 0.000 3.801" Properties=species:S:1:pos:R:3 pbc="T T T"
Y 0.000 0.000 0.000
H 0.000 0.000 1.901
H 0.000 1.901 0.000
H 1.901 0.000 0.000
W 1.901 1.901 1.901
```

Energy above the lowest structure with this stoichiometry, meV/atom: 939
Volume, Å³ per cell: 54.9

No. 3
Density functional theory data (PBE-GGA) for a relaxed Cr2CoNiBi crystal.

The structure in extended XYZ format:
```
5
Lattice="4.593 0.000 0.000 0.000 4.593 0.000 0.000 0.000 4.772" Properties=species:S:1:pos:R:3 pbc="T T T"
Cr 0.000 2.296 0.000
Cr 2.296 0.000 0.000
Co 0.000 0.000 2.386
Ni 2.296 2.296 0.000
Bi 2.296 2.296 2.386
```

Volume, Å³ per cell: 100.7
Energy of formation from the pure elements, meV per atom: 1241

No. 4
Density functional theory data (PBE-GGA) for a relaxed La4Tc3 crystal.

The structure in extended XYZ format:
```
7
Lattice="5.436 0.000 0.000 -2.718 4.708 0.000 0.000 0.000 6.446" Properties=species:S:1:pos:R:3 pbc="T T T"
La 0.000 0.000 1.598
La 0.000 0.000 4.848
La 0.000 3.139 3.223
La 2.718 1.569 3.223
Tc -1.359 2.354 0.000
Tc 2.718 0.000 0.000
Tc 1.359 2.354 0.000
```

Energy above the lowest structure with this stoichiometry, meV/atom: 4
Volume, Å³ per cell: 165.0
Energy of formation from the pure elements, meV per atom: 199

No. 5
Density functional theory data (PBE-GGA) for a relaxed LaPmSbPt crystal.

The structure in extended XYZ format:
```
4
Lattice="0.000 3.774 3.774 3.774 0.000 3.774 3.774 3.774 0.000" Properties=species:S:1:pos:R:3 pbc="T T T"
La 0.000 0.000 0.000
Pm 3.774 3.774 3.774
Sb 1.887 1.887 1.887
Pt 5.661 5.661 5.661
```

Volume, Å³ per cell: 107.5
Raw total energy, eV/atom: -5.872

No. 6
Density functional theory data (PBE-GGA) for a relaxed CdB2SbMo crystal.

The structure in extended XYZ format:
```
5
Lattice="4.220 0.000 0.000 0.000 4.220 0.000 0.000 0.000 5.424" Properties=species:S:1:pos:R:3 pbc="T T T"
Cd 0.000 0.000 0.000
B 0.000 2.110 2.712
B 2.110 0.000 2.712
Sb 2.110 2.110 0.000
Mo 0.000 0.000 2.712
```

Volume, Å³ per cell: 96.6
Raw total energy, eV/atom: -4.567

No. 7
Density functional theory data (PBE-GGA) for a relaxed TaCrTc crystal.

The structure in extended XYZ format:
```
3
Lattice="-1.547 1.547 4.644 1.547 -1.547 4.644 1.547 1.547 -4.644" Properties=species:S:1:pos:R:3 pbc="T T T"
Ta 0.000 0.000 0.000
Cr 0.000 0.000 6.196
Tc 0.000 0.000 3.013
```

Energy above the lowest structure with this stoichiometry, meV/atom: 0
Volume, Å³ per cell: 44.5
Energy of formation from the pure elements, meV per atom: -129

No. 8
Density functional theory data (PBE-GGA) for a relaxed ErAgSnBr6 crystal.

The structure in extended XYZ format:
```
18
Lattice="7.189 0.000 0.000 -3.594 6.226 0.000 0.000 0.000 13.234" Properties=species:S:1:pos:R:3 pbc="T T T"
Er 0.000 4.151 3.308
Er 3.594 2.075 9.925
Ag 0.000 4.151 9.925
Ag 3.594 2.075 3.308
Sn 0.000 0.000 0.000
Sn 0.000 0.000 6.617
Br -1.191 2.199 1.696
Br -2.286 4.095 4.921
Br 1.191 2.199 4.921
Br -1.095 6.158 1.696
Br 2.500 0.068 8.313
Br 1.309 2.131 11.538
Br 2.286 4.095 1.696
Br 1.095 6.158 4.921
Br 4.689 0.068 11.538
Br 2.403 4.027 8.313
Br 5.880 2.131 8.313
Br 4.786 4.027 11.538
```

Volume, Å³ per cell: 592.3
Raw total energy, eV/atom: -3.514

No. 9
Density functional theory data (PBE-GGA) for a relaxed MgTiMn2Co crystal.

The structure in extended XYZ format:
```
5
Lattice="4.644 0.000 0.000 0.000 4.644 0.000 0.000 0.000 4.273" Properties=species:S:1:pos:R:3 pbc="T T T"
Mg 0.000 0.000 0.000
Ti 2.322 2.322 0.000
Mn 0.000 2.322 2.137
Mn 2.322 0.000 2.137
Co 2.322 2.322 2.137
```

Volume, Å³ per cell: 92.2
Energy of formation from the pure elements, meV per atom: 490

No. 10
Density functional theory data (PBE-GGA) for a relaxed HgPd2Se crystal.

The structure in extended XYZ format:
```
4
Lattice="3.232 0.000 0.000 0.000 3.232 0.000 0.000 0.000 6.759" Properties=species:S:1:pos:R:3 pbc="T T T"
Hg 0.000 0.000 0.000
Pd 1.616 1.616 1.842
Pd 1.616 1.616 4.917
Se 0.000 0.000 3.380
```

Volume, Å³ per cell: 70.6
Raw total energy, eV/atom: -3.645

No. 11
Density functional theory data (PBE-GGA) for a relaxed VAgPb crystal.

The structure in extended XYZ format:
```
6
Lattice="3.120 0.000 0.000 1.555 5.788 0.000 1.551 2.656 6.692" Properties=species:S:1:pos:R:3 pbc="T T T"
V 0.000 0.000 0.000
V 1.561 1.046 1.535
Ag 3.117 3.717 1.330
Ag 4.675 5.143 3.167
Pb 3.112 5.175 5.763
Pb 3.118 2.220 3.999
```

Volume, Å³ per cell: 120.8
Energy of formation from the pure elements, meV per atom: 346

No. 12
Density functional theory data (PBE-GGA) for a relaxed TaGe2Os crystal.

The structure in extended XYZ format:
```
4
Lattice="1.475 0.852 9.222 -1.475 0.852 9.222 0.000 -1.703 9.222" Properties=species:S:1:pos:R:3 pbc="T T T"
Ta 0.000 0.000 0.000
Ge 0.000 0.000 2.683
Ge 0.000 0.000 24.983
Os 0.000 0.000 13.833
```

Energy above the lowest structure with this stoichiometry, meV/atom: 78
Volume, Å³ per cell: 69.5
Energy of formation from the pure elements, meV per atom: 292

Question: Which value of volume does entry 9 give?
Answer: 92.2 Å³ per cell

Question: Which of these has the lowest volume?
Answer: TaCrTc